A relaxed structure of Sc2CdCo. Source: Alexandria via LeMat-Bulk, functional PBE-GGA.

Lattice parameters (Å, degrees): 3.211 3.211 7.527 90.00 90.00 90.00
Space group P4mm (No. 99)
One atom of each set of equivalent atoms:
Sc (0.000, 0.000, 0.000) (multiplicity 1)
Sc (0.500, 0.500, 0.324) (multiplicity 1)
Cd (0.000, 0.000, 0.603) (multiplicity 1)
Co (0.500, 0.500, 0.825) (multiplicity 1)

Properties
- V: 19.41 A^3/atom
- DFT total energy: -20.9 eV per cell